# 1
Entry from Alexandria: a geometry-optimized K2ScCd structure (PBE).

Output
The value obtained for the energy relative to the elements is 0.406 eV per atom. The volume comes out at 37.4 Å³/atom. The calculation puts the spin magnetization at 1.0 μB/cell. For the density of states at the Fermi level, the calculation gives 4.460 states/eV/f.u.

Cell lengths 3.529, 3.529, 12.027 Å; angles 90.00, 90.00, 90.00 degrees
Space group P4/mmm (No. 123)
Unique sites:
K 0.000 0.000 0.231 (multiplicity 2)
Sc 0.500 0.500 0.500 (multiplicity 1)
Cd 0.500 0.500 0.000 (multiplicity 1)

***

# 2
Entry from Alexandria: a geometry-optimized SrZnTc structure (PBE).

Output
For the energy above the most stable polymorph in this dataset, the calculation gives 37.01 kJ/mol of atoms. The value obtained for the energy relative to the elements is 0.418 eV per atom. The volume comes out at 22.1 Å³/atom. The calculation puts the spin magnetization at 0.9 μB/cell. For the density of states at the Fermi level, the calculation gives 3.141 states/eV/f.u.

Cell lengths 3.490, 3.490, 10.891 Å; angles 90.00, 90.00, 90.00 degrees
Space group I4mm (No. 107)
Unique sites:
Sr 0.000 0.000 0.000 (multiplicity 2)
Zn 0.000 0.000 0.279 (multiplicity 2)
Tc 0.000 0.000 0.710 (multiplicity 2)

***

# 3
Entry from Alexandria: a geometry-optimized AcCe2Co structure (PBE).

Output
For the energy above the most stable polymorph in this dataset, the calculation gives 18.23 kJ/mol of atoms. The value obtained for the energy relative to the elements is 0.121 eV per atom. The volume comes out at 31.2 Å³/atom. The calculation puts the spin magnetization at 4.0 μB/cell. For the density of states at the Fermi level, the calculation gives 11.510 states/eV/f.u.

Cell lengths 3.7624, 3.7624, 30.5745 Å; angles 90.00, 90.00, 120.00 degrees
Space group R-3m (No. 166, hexagonal axes)
Unique sites:
Ac 0.0000 0.0000 0.0000 (multiplicity 3)
Ce 0.0000 0.0000 0.1165 (multiplicity 6)
Co 0.0000 0.0000 0.5000 (multiplicity 3)

***

# 4
Entry from Alexandria: a geometry-optimized ScCd2Fe structure (PBE).

Output
The value obtained for the energy relative to the elements is 0.093 eV per atom. The volume comes out at 18.9 Å³/atom. The calculation puts the spin magnetization at 1.7 μB/cell. For the density of states at the Fermi level, the calculation gives 3.174 states/eV/f.u.

Cell lengths 3.030, 4.107, 6.064 Å; angles 90.00, 90.00, 90.00 degrees
Space group Pmmm (No. 47)
Unique sites:
Sc 0.000 0.000 0.000 (multiplicity 1)
Cd 0.500 0.500 0.269 (multiplicity 2)
Fe 0.000 0.000 0.500 (multiplicity 1)

***

> What is the volume in the third record?

31.2 Å³/atom

***

> spin magnetization of number 2 (SrZnTc)?

0.9 μB/cell

***

> The highest volume belongs to which entry?

K2ScCd